1.
Below is a relaxed structure of Pm5Pr4Er4, with properties calculated at the GGA-PBE level.

Computed properties:
crystal system	tetragonal
energy of formation from the pure elements	0.018	eV/atom
total energy	-4.683	eV/atom

abc: 13.0964 13.0964 5.1146
angles: 90.00 90.00 90.00
Space group I4/m (No. 87)
Unique sites:
Pm (0.0000, 0.0000, 0.0000)
Pm (0.0405, 0.8094, 0.5000)
Pr (0.0776, 0.6181, 0.0000)
Er (0.1542, 0.2311, 0.0000)

2.
Below is a relaxed structure of Pm3Pr3Er2, with properties calculated at the GGA-PBE level.

Computed properties:
offset from the most stable computed form	0	meV/atom
crystal system	orthorhombic
energy of formation from the pure elements	0.030	eV/atom
total energy	-4.684	eV/atom

abc: 5.8662 14.7552 6.3619
angles: 90.00 90.00 90.00
Space group Pmmn (No. 59, origin choice 2)
Unique sites:
Pm (0.2500, 0.1248, 0.1677)
Pm (0.2500, 0.7500, 0.6609)
Pr (0.2500, 0.0000, 0.6685)
Pr (0.2500, 0.2500, 0.6734)
Er (0.2500, 0.6263, 0.1626)

3.
Below is a relaxed structure of Pm7Pr3Er, with properties calculated at the GGA-PBE level.

Computed properties:
offset from the most stable computed form	0	meV/atom
crystal system	trigonal
energy of formation from the pure elements	0.164	eV/atom
total energy	-4.577	eV/atom

abc: 7.2299 7.2299 8.8293
angles: 90.00 90.00 120.00
Space group P3m1 (No. 156)
Unique sites:
Pm (0.0000, 0.0000, 0.0000)
Pm (0.1663, 0.3326, 0.6741)
Pm (0.5006, 0.0012, 0.0053)
Pr (0.3341, 0.1671, 0.3414)
Er (0.6667, 0.3333, 0.6808)

4.
Below is a relaxed structure of Pm3Pr2Er7, with properties calculated at the GGA-PBE level.

Computed properties:
crystal system	monoclinic
energy of formation from the pure elements	0.089	eV/atom
total energy	-4.557	eV/atom

abc: 6.3575 3.5336 17.5585
angles: 90.00 96.26 90.00
Space group P2/m (No. 10)
Unique sites:
Pm (0.0000, 0.0000, 0.0000)
Pm (0.0455, 0.5000, 0.6588)
Pr (0.4452, 0.0000, 0.3258)
Er (0.2264, 0.5000, 0.1625)
Er (0.2451, 0.0000, 0.4996)
Er (0.2740, 0.0000, 0.8358)
Er (0.5000, 0.5000, 0.0000)

5.
Below is a relaxed structure of PmPr5Er12, with properties calculated at the GGA-PBE level.

Computed properties:
crystal system	monoclinic
energy of formation from the pure elements	0.096	eV/atom
total energy	-4.538	eV/atom

abc: 11.4411 17.2784 5.9284
angles: 90.00 90.01 90.00
Space group C2/m (No. 12)
Unique sites:
Pm (0.0000, 0.0000, 0.0000)
Pr (0.0000, 0.1660, 0.5000)
Pr (0.0000, 0.3344, 0.0000)
Pr (0.0000, 0.5000, 0.5000)
Er (0.1775, 0.1666, 0.0507)
Er (0.1778, 0.0000, 0.4458)
Er (0.1784, 0.3334, 0.4491)
Er (0.1803, 0.5000, 0.0541)

6.
Below is a relaxed structure of PmPr7Er2, with properties calculated at the GGA-PBE level.

Computed properties:
offset from the most stable computed form	437	meV/atom
crystal system	orthorhombic
energy of formation from the pure elements	0.626	eV/atom
total energy	-4.108	eV/atom

abc: 9.0229 16.2984 5.7852
angles: 90.00 90.00 90.00
Space group Cmmm (No. 65)
Unique sites:
Pm (0.0000, 0.0000, 0.0000)
Pr (0.0000, 0.2286, 0.0000)
Pr (0.0000, 0.5000, 0.5000)
Pr (0.1801, 0.1158, 0.5000)
Er (0.0000, 0.2957, 0.5000)

Among the records above, which one has the highest total energy? PmPr7Er2

What is the total energy in the fourth record? -4.557 eV/atom

total energy of number 1 (Pm5Pr4Er4)? -4.683 eV/atom

Which of these has the lowest total energy? Pm3Pr3Er2